1.
Density functional theory data (PBE-GGA) for a geometry-optimized Sr2EuY structure.

```
Sr2EuY
1.0
4.380 0.000 0.000
0.000 6.300 0.000
0.000 0.000 6.300
Y Sr Eu
1 2 1
Direct
0.500 0.500 0.500
0.000 0.000 0.500
0.000 0.500 0.000
0.500 0.000 0.000
```

Computed properties:
The value obtained for the relative energy among the computed polymorphs is 30 meV/atom. Its formation energy is 0.182 eV per atom. As for the density of states at the Fermi level: 1.054 states/eV per atom. The calculation puts the total magnetization at 7.2 μB per cell. As for the space group: P4/mmm.

***

2.
Density functional theory data (PBE-GGA) for a geometry-optimized InAg2Pb structure.

```
InAg2Pb
1.0
6.289 0.060 0.067
3.270 5.373 -0.067
-4.165 -3.798 2.791
Ag Pb In
2 1 1
Direct
0.018 0.018 0.000
0.235 0.735 0.500
0.766 0.266 0.500
0.481 0.481 0.000
```

Computed properties:
Its formation energy is 0.086 eV per atom. As for the density of states at the Fermi level: 0.379 states/eV per atom. The calculation puts the total magnetization at 0.0 μB per cell. As for the space group: Imm2.

***

3.
Density functional theory data (PBE-GGA) for a geometry-optimized KRb2Cl structure.

```
KRb2Cl
1.0
10.032 0.000 0.000
0.000 10.032 0.000
5.016 5.016 5.843
K Rb Cl
2 4 2
Direct
0.750 0.250 0.500
0.000 0.000 0.000
0.250 0.625 0.250
0.875 0.750 0.750
0.375 0.500 0.750
0.500 0.125 0.250
0.250 0.750 0.500
0.500 0.500 0.000
```

Computed properties:
The value obtained for the relative energy among the computed polymorphs is 85 meV/atom. The value obtained for the energy relative to the elements, uncorrected is -0.841 eV/atom. As for the density of states at the Fermi level: 0.601 states/eV per atom. The calculation puts the total magnetization at 0.0 μB per cell. As for the space group: I-42d.

***

4.
Density functional theory data (PBE-GGA) for a geometry-optimized Li2ZrTeO structure.

```
Li2ZrTeO
1.0
4.241 0.000 0.000
0.000 4.397 0.000
0.000 0.000 4.241
Zr Li Te O
1 2 1 1
Direct
0.000 0.500 0.000
0.000 0.000 0.500
0.500 0.000 0.000
0.500 0.500 0.500
0.000 0.000 0.000
```

Computed properties:
The value obtained for the energy relative to the elements, uncorrected is -1.338 eV/atom. As for the density of states at the Fermi level: 0.546 states/eV per atom. The calculation puts the total magnetization at 0.0 μB per cell. As for the space group: P4/mmm.

***

5.
Density functional theory data (PBE-GGA) for a geometry-optimized TcHgOsPd2 structure.

```
TcHgOsPd2
1.0
4.849 0.000 0.000
0.000 4.617 0.000
0.000 0.000 4.849
Os Pd Hg Tc
1 2 1 1
Direct
0.000 0.500 0.000
0.500 0.000 0.000
0.000 0.000 0.500
0.500 0.500 0.500
0.000 0.000 0.000
```

Computed properties:
Its formation energy is 1.392 eV per atom. As for the density of states at the Fermi level: 1.276 states/eV per atom. The calculation puts the total magnetization at 0.6 μB per cell. As for the space group: P4/mmm.

***

6.
Density functional theory data (PBE-GGA) for a geometry-optimized Na6CaHg23 structure.

```
Na6CaHg23
1.0
-4.922 3.972 8.282
-7.063 -5.717 5.100
2.122 -3.603 9.545
Hg Na Ca
23 6 1
Direct
0.864 0.864 0.407
0.624 0.128 0.624
0.000 0.000 0.000
0.624 0.624 0.624
0.500 0.000 0.500
0.000 0.500 0.000
0.136 0.593 0.136
0.872 0.376 0.376
0.864 0.864 0.864
0.376 0.376 0.872
0.500 0.000 0.000
0.000 0.000 0.500
0.864 0.407 0.864
0.624 0.624 0.128
0.000 0.500 0.500
0.407 0.864 0.864
0.128 0.624 0.624
0.376 0.872 0.376
0.136 0.136 0.593
0.593 0.136 0.136
0.376 0.376 0.376
0.500 0.500 0.000
0.136 0.136 0.136
0.765 0.765 0.235
0.765 0.235 0.235
0.235 0.765 0.235
0.235 0.235 0.765
0.235 0.765 0.765
0.765 0.235 0.765
0.500 0.500 0.500
```

Computed properties:
Its formation energy is -0.177 eV per atom. As for the density of states at the Fermi level: 0.447 states/eV per atom. The calculation puts the total magnetization at 0.0 μB per cell. As for the space group: Fm-3m.

***

7.
Density functional theory data (PBE-GGA) for a geometry-optimized DyHoNiRh structure.

```
DyHoNiRh
1.0
3.820 0.000 0.000
0.000 4.102 0.000
-1.910 0.000 5.255
Dy Rh Ni Ho
1 1 1 1
Direct
0.141 0.000 0.283
0.421 0.000 0.842
0.579 0.500 0.158
0.859 0.500 0.718
```

Computed properties:
The value obtained for the relative energy among the computed polymorphs is 0 meV/atom. Its formation energy is -0.663 eV per atom. As for the density of states at the Fermi level: 0.601 states/eV per atom. The calculation puts the total magnetization at 0.0 μB per cell. As for the space group: Amm2.